Density functional theory data (PBE) for a relaxed LiCd2Rh2O6 crystal.

Unit cell a=5.4148 b=5.4148 c=5.6580 alpha=97.91 beta=97.91 gamma=121.99
Last column: nearest neighbours and their distance in Å.
Fractional coordinates of all 11 atoms:
Cd (0.8448, 0.1552, 0.0000)  6 O 2.35-2.40
Cd (0.1552, 0.8448, 0.0000)  6 O 2.35-2.40
Li (0.0000, 0.0000, 0.5000)  2 O 2.03
Rh (0.3374, 0.6626, 0.5000)  6 O 2.05-2.07
O (0.2698, 0.2698, 0.3045)  1 Li 2.03, 2 Rh 2.07
O (0.5730, 0.9468, 0.2894)  2 Rh 2.05-2.06
O (0.4270, 0.0532, 0.7106)  2 Rh 2.05-2.06
O (0.9468, 0.5730, 0.2894)  2 Rh 2.05-2.06
Rh (0.6626, 0.3374, 0.5000)  6 O 2.05-2.07
O (0.0532, 0.4270, 0.7106)  2 Rh 2.05-2.06
O (0.7302, 0.7302, 0.6955)  1 Li 2.03, 2 Rh 2.07

Calculated values
Symmetry: C2/m, No. 12
Total moment in μB/cell: 1.08
Energy relative to the elements, uncorrected in eV per atom: -0.94
Calculated density in g/cm3: 6.57
D(E_F) in states/eV/f.u.: 8.59